Ce2Zn6Ni3: optimized geometry, PBE.

Structure (CIF):
```
data_Ce2Zn6Ni3
_cell_length_a 7.4883
_cell_length_b 7.4883
_cell_length_c 3.8783
_cell_angle_alpha 90.00
_cell_angle_beta 90.00
_cell_angle_gamma 120.00
_symmetry_space_group_name_H-M 'P -6 2 m'
_symmetry_Int_Tables_number 189
_symmetry_space_group_name_Hall 'P -6 -2'
loop_
_atom_site_label
_atom_site_type_symbol
_atom_site_fract_x
_atom_site_fract_y
_atom_site_fract_z
_atom_site_occupancy
Ce1 Ce 0.3333 0.6667 0.0000 1
Zn1 Zn 0.0000 0.2784 0.5000 1
Zn2 Zn 0.0000 0.8021 0.0000 1
Ni1 Ni 0.0000 0.6051 0.5000 1
```

Theoretical density: 7.48 g/cm3
N(E_F): 0.983 states/eV per atom
Formation energy: -277 kJ/mol of formula units
V: 17.12 A^3/atom